(1)
{
  "formula": "PtSeF2",
  "functional": "PBEsol",
  "state": "relaxed",
  "cell": [[8.471, 0.000, 0.000], [0.000, 8.471, 0.000], [0.000, 0.000, 4.663]],
  "species": ["Pt", "Pt", "Pt", "Pt", "Se", "Se", "Se", "Se", "F", "F", "F", "F", "F", "F", "F", "F"],
  "fractional_positions": [[0.000, 0.250, 0.375], [0.000, 0.750, 0.625], [0.500, 0.250, 0.125], [0.500, 0.750, 0.875], [0.000, 0.250, 0.875], [0.000, 0.750, 0.125], [0.500, 0.250, 0.625], [0.500, 0.750, 0.375], [0.000, 0.000, 0.500], [0.000, 0.500, 0.500], [0.250, 0.250, 0.250], [0.250, 0.750, 0.750], [0.500, 0.000, 0.000], [0.500, 0.500, 0.000], [0.750, 0.250, 0.250], [0.750, 0.750, 0.750]],
  "mass_density_g_cm3": 6.19,
  "raw_formation_energy_ev_per_atom": -0.26,
  "sg": "I4_1/amd",
  "e_tot_ev_per_atom": -3.9264
}


(2)
{
  "formula": "SiPtF2",
  "functional": "PBEsol",
  "state": "relaxed",
  "cell": [[2.620, 0.000, 0.000], [-1.310, 2.269, 0.000], [0.000, 0.000, 29.917]],
  "species": ["Si", "Si", "Si", "Pt", "Pt", "Pt", "F", "F", "F", "F", "F", "F"],
  "fractional_positions": [[0.000, 0.000, 0.000], [0.333, 0.667, 0.667], [0.667, 0.333, 0.333], [0.000, 0.000, 0.500], [0.333, 0.667, 0.167], [0.667, 0.333, 0.833], [0.000, 0.000, 0.054], [0.000, 0.000, 0.946], [0.333, 0.667, 0.612], [0.333, 0.667, 0.721], [0.667, 0.333, 0.279], [0.667, 0.333, 0.388]],
  "mass_density_g_cm3": 7.31,
  "raw_formation_energy_ev_per_atom": -1.20,
  "sg": "R-3m",
  "e_tot_ev_per_atom": -5.3437
}


(3)
{
  "formula": "SiPtF2",
  "functional": "PBEsol",
  "state": "relaxed",
  "cell": [[5.837, 0.000, 0.000], [0.000, 5.837, 0.000], [0.000, 0.000, 5.837]],
  "species": ["Si", "Si", "Si", "Si", "Pt", "Pt", "Pt", "Pt", "F", "F", "F", "F", "F", "F", "F", "F"],
  "fractional_positions": [[0.000, 0.000, 0.000], [0.000, 0.500, 0.500], [0.500, 0.000, 0.500], [0.500, 0.500, 0.000], [0.000, 0.000, 0.500], [0.000, 0.500, 0.000], [0.500, 0.000, 0.000], [0.500, 0.500, 0.500], [0.250, 0.250, 0.250], [0.250, 0.250, 0.750], [0.250, 0.750, 0.250], [0.250, 0.750, 0.750], [0.750, 0.250, 0.250], [0.750, 0.250, 0.750], [0.750, 0.750, 0.250], [0.750, 0.750, 0.750]],
  "mass_density_g_cm3": 8.72,
  "raw_formation_energy_ev_per_atom": -0.20,
  "sg": "Fm-3m",
  "e_tot_ev_per_atom": -4.3432
}


(4)
{
  "formula": "SrPt2F",
  "functional": "PBEsol",
  "state": "relaxed",
  "cell": [[6.600, 0.000, 0.000], [0.000, 6.600, 0.000], [0.000, 0.000, 6.600]],
  "species": ["Sr", "Sr", "Sr", "Sr", "Pt", "Pt", "Pt", "Pt", "Pt", "Pt", "Pt", "Pt", "F", "F", "F", "F"],
  "fractional_positions": [[0.000, 0.000, 0.000], [0.000, 0.500, 0.500], [0.500, 0.000, 0.500], [0.500, 0.500, 0.000], [0.250, 0.250, 0.250], [0.250, 0.250, 0.750], [0.250, 0.750, 0.250], [0.250, 0.750, 0.750], [0.750, 0.250, 0.250], [0.750, 0.250, 0.750], [0.750, 0.750, 0.250], [0.750, 0.750, 0.750], [0.000, 0.000, 0.500], [0.000, 0.500, 0.000], [0.500, 0.000, 0.000], [0.500, 0.500, 0.500]],
  "mass_density_g_cm3": 11.48,
  "raw_formation_energy_ev_per_atom": 0.02,
  "sg": "Fm-3m",
  "e_tot_ev_per_atom": -4.4058
}